Nb2MoOs PBE relaxed; electronic total energy = -10.795 eV per atom; formation energy = -94 kJ/mol of formula units; magnetic moment = 0.0 μB/f.u.
1.0
3.205 0.000 0.000
0.000 4.541 0.000
0.000 0.000 4.541
Nb Os Mo
2 1 1
Cartesian
0.000 0.000 2.271 Nb
0.000 2.271 0.000 Nb
1.602 2.271 2.271 Os
1.602 0.000 0.000 Mo